# 1
Compound: Ho2HfGe2Rh5
Source: the Alexandria database
Functional: PBE
Structure: relaxed

Computed properties:
Calculated volume = 349 Å³/cell
DOS at the Fermi energy = 2.46 states/eV/f.u.
ΔH_f (0 K) = -0.895 eV per atom

Cell: 9.793 9.793 3.637 Å, 90.00 90.00 90.00°
Positions (direct):
Ho1 0.173 0.327 0.000
Ho2 0.327 0.827 0.000
Ho3 0.673 0.173 0.000
Ho4 0.827 0.673 0.000
Hf1 0.000 0.000 0.000
Hf2 0.500 0.500 0.000
Ge1 0.124 0.624 0.000
Ge2 0.376 0.124 0.000
Ge3 0.624 0.876 0.000
Ge4 0.876 0.376 0.000
Rh1 0.000 0.500 0.500
Rh2 0.068 0.791 0.500
Rh3 0.209 0.068 0.500
Rh4 0.291 0.568 0.500
Rh5 0.432 0.291 0.500
Rh6 0.500 0.000 0.500
Rh7 0.568 0.709 0.500
Rh8 0.709 0.432 0.500
Rh9 0.791 0.932 0.500
Rh10 0.932 0.209 0.500

# 2
Compound: KYSb2
Source: the Alexandria database
Functional: PBE
Structure: relaxed

Computed properties:
Calculated volume = 123 Å³/cell
DOS at the Fermi energy = 2.72 states/eV/f.u.
Energy above the most stable polymorph in this dataset = 36 meV/atom
Energy relative to the elements, uncorrected = -0.6212 eV/atom

Cell: 3.618 3.618 9.387 Å, 90.00 90.00 90.00°
Positions (direct):
K1 0.000 0.000 0.000
Y1 0.000 0.000 0.500
Sb1 0.500 0.500 0.280
Sb2 0.500 0.500 0.720